1.
A plane-wave DFT calculation with PBE was carried out for a geometry-optimized LaIr2Se structure.

## Properties
total magnetization: 0.00 μB/f.u.
ΔE_f (raw): -1.186 eV per formula unit
calculated total energy: -27.3 eV/cell

Lattice parameters (Å, degrees): 3.6540 3.6540 6.2737 90.00 90.00 90.00
Closest atoms and distances in Å follow each position.
Space group P4mm (No. 99)
One atom of each set of equivalent atoms:
La 0.0000 0.0000 0.0000 x1  1 Ir 2.76, 4 Se 3.03
Ir 0.0000 0.0000 0.5607 x1  4 Ir 2.66, 1 La 2.76
Ir 0.5000 0.5000 0.6608 x1  1 Se 2.56, 4 Ir 2.66
Se 0.5000 0.5000 0.2524 x1  1 Ir 2.56

2.
A plane-wave DFT calculation with PBE was carried out for a geometry-optimized PmBeSb structure.

## Properties
total magnetization: 0.00 μB/f.u.
ΔE_f (raw): -1.824 eV per formula unit
calculated total energy: -14.4 eV/cell

Lattice parameters (Å, degrees): 4.1830 4.1830 4.3032 90.00 90.00 120.00
Closest atoms and distances in Å follow each position.
Space group P-6m2 (No. 187)
One atom of each set of equivalent atoms:
Pm 0.0000 0.0000 0.0000 x1  6 Sb 3.23, 6 Be 3.23
Be 0.6667 0.3333 0.5000 x1  3 Sb 2.42
Sb 0.3333 0.6667 0.5000 x1  3 Be 2.42

3.
A plane-wave DFT calculation with PBE was carried out for a geometry-optimized GdGeIr structure.

## Properties
total magnetization: 6.98 μB/f.u.
calculated total energy: -30.0 eV/cell
energy of formation from the pure elements: -802 meV/atom

Lattice parameters (Å, degrees): 4.3310 4.3310 3.7701 90.00 90.00 120.00
Closest atoms and distances in Å follow each position.
Space group P-6m2 (No. 187)
One atom of each set of equivalent atoms:
Gd 0.0000 0.0000 0.0000 x1  6 Ge 3.13, 6 Ir 3.13
Ge 0.3333 0.6667 0.5000 x1  3 Ir 2.50
Ir 0.6667 0.3333 0.5000 x1  3 Ge 2.50

4.
A plane-wave DFT calculation with PBE was carried out for a geometry-optimized Be2Pb structure.

## Properties
total magnetization: 0.00 μB/f.u.
calculated total energy: -18.0 eV/cell
energy of formation from the pure elements: 725 meV/atom

Lattice parameters (Å, degrees): 3.7823 3.7823 6.9649 90.00 90.00 90.00
Closest atoms and distances in Å follow each position.
Space group I4/mmm (No. 139)
One atom of each set of equivalent atoms:
Be 0.0000 0.0000 0.1502 x4  1 Be 2.09
Pb 0.0000 0.0000 0.5000 x2  2 Be 2.44

5.
A plane-wave DFT calculation with PBE was carried out for a geometry-optimized EuGa3Co2 structure.

## Properties
total magnetization: 7.06 μB/f.u.
calculated total energy: -144.0 eV/cell
energy of formation from the pure elements: -404 meV/atom

Lattice parameters (Å, degrees): 9.9059 7.7079 5.2749 90.00 90.00 90.00
Closest atoms and distances in Å follow each position.
Space group Cmcm (No. 63)
One atom of each set of equivalent atoms:
Eu 0.0000 0.1541 0.2500 x4  7 Ga 3.07-3.31, 4 Co 3.44
Ga 0.0000 0.4473 0.7500 x4  4 Co 2.43, 2 Ga 2.60
Ga 0.1951 0.2213 0.7500 x8  4 Co 2.38-2.52, 1 Ga 2.60
Co 0.2025 0.5000 0.0000 x8  6 Ga 2.38-2.52, 2 Co 2.64

6.
A plane-wave DFT calculation with PBE was carried out for a geometry-optimized Sr6Li2Mg structure.

## Properties
total magnetization: 0.00 μB/f.u.
calculated total energy: -61.9 eV/cell
energy of formation from the pure elements: 4 meV/atom

Lattice parameters (Å, degrees): 5.9799 14.4511 18.0272 90.00 90.00 90.00
Closest atoms and distances in Å follow each position.
Space group Fmmm (No. 69)
One atom of each set of equivalent atoms:
Sr 0.0000 0.1438 0.0000 x8  2 Li 3.62, 2 Mg 3.64
Sr 0.0000 0.1437 0.3337 x16  3 Li 3.64-3.70, 1 Mg 3.65
Li 0.0000 0.0000 0.1641 x8  8 Sr 3.62-3.70
Mg 0.0000 0.0000 0.5000 x4  8 Sr 3.64-3.65

7.
A plane-wave DFT calculation with PBE was carried out for a geometry-optimized CaZnCd2Ag2 structure.

## Properties
total magnetization: 0.00 μB/f.u.
calculated total energy: -20.4 eV/cell
energy of formation from the pure elements: 104 meV/atom

Lattice parameters (Å, degrees): 5.3972 5.3972 11.1854 90.00 90.00 90.00
Closest atoms and distances in Å follow each position.
Space group I4/mmm (No. 139)
One atom of each set of equivalent atoms:
Ca 0.0000 0.0000 0.0000 x2  2 Ag 3.09
Zn 0.0000 0.0000 0.5000 x2  2 Ag 2.51
Cd 0.0000 0.5000 0.2500 x4  4 Ag 2.71
Ag 0.0000 0.0000 0.2759 x4  1 Zn 2.51, 4 Cd 2.71

8.
A plane-wave DFT calculation with PBE was carried out for a geometry-optimized TbPaAgPd structure.

## Properties
total magnetization: 0.99 μB/f.u.
calculated total energy: -91.7 eV/cell
energy of formation from the pure elements: -189 meV/atom

Lattice parameters (Å, degrees): 7.1631 7.1631 7.1631 90.00 90.00 90.00
Closest atoms and distances in Å follow each position.
Space group F-43m (No. 216)
One atom of each set of equivalent atoms:
Tb 0.0000 0.0000 0.0000 x4  4 Pd 3.10, 4 Ag 3.10
Pa 0.0000 0.0000 0.5000 x4  4 Pd 3.10, 4 Ag 3.10
Ag 0.2500 0.2500 0.7500 x4  4 Tb 3.10, 4 Pa 3.10
Pd 0.2500 0.2500 0.2500 x4  4 Tb 3.10, 4 Pa 3.10